Record 1
## TlNi2H (PBE)

Data for an optimized crystal structure of TlNi2H.

Output
* energy above the lowest structure with this stoichiometry: 662.3 meV per atom
* symmetry: Fm-3m
* raw total energy: -3.5557 eV/atom
* crystal system: cubic

extended XYZ file:
```
4
Lattice="0.000 2.980 2.980 2.980 0.000 2.980 2.980 2.980 0.000" Properties=species:S:1:pos:R:3 pbc="T T T"
Ni 4.470 4.470 4.470
H 0.000 0.000 0.000
Ni 1.490 1.490 1.490
Tl 2.980 2.980 2.980
```



Record 2
## FeTcTe2 (PBE)

Data for an optimized crystal structure of FeTcTe2.

Output
* energy above the lowest structure with this stoichiometry: 410.1 meV per atom
* formation energy (no corrections): 0.40 eV/atom
* symmetry: Fm-3m
* raw total energy: -5.8815 eV/atom
* crystal system: cubic

extended XYZ file:
```
4
Lattice="3.728 -1.625 -2.311 0.998 -4.569 0.089 -0.582 -2.596 -3.847" Properties=species:S:1:pos:R:3 pbc="T T T"
Te 3.107 -6.593 -4.552
Fe 0.000 0.000 0.000
Te 1.036 -2.198 -1.517
Tc 2.071 -4.395 -3.035
```



Record 3
## CsSCl4 (PBE)

Data for an optimized crystal structure of CsSCl4.

Output
* energy above the lowest structure with this stoichiometry: 0.0 meV per atom
* formation energy (no corrections): -0.71 eV/atom
* symmetry: Imm2
* raw total energy: -2.7670 eV/atom
* crystal system: orthorhombic

extended XYZ file:
```
6
Lattice="6.794 0.096 -2.143 -3.549 5.717 -2.338 0.080 -0.097 7.122" Properties=species:S:1:pos:R:3 pbc="T T T"
Cl 2.249 4.025 -0.377
Cl -0.341 4.029 -2.255
S 1.611 2.646 5.008
Cl 3.687 1.726 4.866
Cs 4.297 1.542 1.301
Cl 1.095 1.726 2.991
```